LiTlGePF: relaxed, GGA-PBE.

Computed properties:
Total moment, μB/f.u.: 0.000
Crystal system: monoclinic
V, Å³/cell: 107.64
E_tot, eV/atom: -4.148
Offset from the most stable computed form, eV/atom: 0.094

Unit cell a=5.8306 b=5.8306 c=6.1070 alpha=114.86 beta=114.86 gamma=35.29
Fractional positions:
Li1 0.0000 0.0000 0.0000
Tl1 0.3331 0.3331 0.3130
Ge1 0.6777 0.6777 0.7636
P1 0.0853 0.0853 0.4867
F1 0.5226 0.5226 0.9131